The following is a PBE calculation of a relaxed CsPbAu2F crystal, from the Alexandria database.

Lattice parameters (Å, degrees): 5.648 5.648 4.885 90.00 90.00 90.00
Fractional positions:
Cs: 0.000 0.000 0.000
Pb: 0.500 0.500 0.500
Au: 0.000 0.500 0.500
Au: 0.500 0.000 0.500
F: 0.500 0.500 0.000

Computed properties:
Formation energy (no corrections) ... -0.78 eV per atom